Record 1
AcPmAl4 after structural relaxation. Source: Alexandria via LeMat-Bulk, functional PBE-GGA.

## Properties
**ΔE to the lowest computed polymorph**: 0.000 eV per atom
**Symmetry**: F-43m, No. 216
**E_tot**: -0.161 hartree per atom

Cell lengths 5.7919, 5.7919, 5.7919 Å; angles 60.00, 60.00, 60.00 degrees
Positions (direct):
Ac  0.2500  0.2500  0.2500
Al  0.6252  0.6252  0.1245
Al  0.6252  0.1245  0.6252
Al  0.6252  0.6252  0.6252
Al  0.1245  0.6252  0.6252
Pm  0.0000  0.0000  0.0000

***

Record 2
Y5BiP6 after structural relaxation. Source: Alexandria via LeMat-Bulk, functional PBE-GGA.

## Properties
**Symmetry**: C2/m, No. 12
**E_tot**: -0.258 hartree per atom

Cell lengths 7.0092, 7.0092, 7.0030 Å; angles 99.59, 99.59, 120.02 degrees
Positions (direct):
Y  0.8346  0.1654  0.5000
Y  0.6674  0.3326  0.0000
Y  0.5000  0.5000  0.5000
Y  0.3326  0.6674  0.0000
Y  0.1654  0.8346  0.5000
P  0.4236  0.0844  0.2528
P  0.9156  0.5764  0.7472
P  0.2546  0.2546  0.7457
P  0.7454  0.7454  0.2543
P  0.0844  0.4236  0.2528
P  0.5764  0.9156  0.7472
Bi  0.0000  0.0000  0.0000

***

Record 3
CdTcRh2 after structural relaxation. Source: Alexandria via LeMat-Bulk, functional PBE-GGA.

## Properties
**Symmetry**: P4/mmm, No. 123
**E_tot**: -0.243 hartree per atom

Cell lengths 2.8146, 2.8146, 7.8267 Å; angles 90.00, 90.00, 90.00 degrees
Positions (direct):
Rh  0.0000  0.0000  0.0223
Rh  0.0000  0.0000  0.4777
Tc  0.5000  0.5000  0.2500
Cd  0.5000  0.5000  0.7500

***

Results for ΔH_f (0 K): -2.5, -15.5, -0.5 (in eV per formula unit, following the order of the records).